Compound: HfZr2In2
Source: Alexandria via LeMat-Bulk
Functional: PBE
Structure: relaxed

Cell lengths 4.0856, 4.0856, 7.9633 Å; angles 75.14, 75.14, 90.00 degrees
Closest atoms and distances in Å follow each position.
Fractional positions:
In (0.2500, 0.7500, 0.5000)  4 In 2.89, 4 Zr 3.09
In (0.7500, 0.2500, 0.5000)  4 In 2.89, 4 Zr 3.09
Hf (0.0000, 0.0000, 0.0000)  8 Zr 3.21
Zr (0.5935, 0.5935, 0.8129)  1 Zr 2.78, 4 In 3.09
Zr (0.4065, 0.4065, 0.1871)  1 Zr 2.78, 4 In 3.09

Output
- Volume: 124 Å³/cell
- Formation energy from the elements: 339 meV/atom
- ΔE to the lowest computed polymorph: 487 meV/atom